1.
VASP calculation (PBE) on an optimized crystal structure of Pm3In2BIr3.

Structure (POSCAR):
```
Pm3In2BIr3
1.0
-2.8279 -2.5339 0.1129
5.0185 -5.6098 -0.2056
-2.2461 2.8016 6.6184
Ir In Pm B
3 2 3 1
Cartesian
-0.8292 -1.8593 1.4091
-3.1862 0.9437 5.2789
2.5459 -5.6935 -0.1057
1.1830 -4.0730 2.1256
-1.2385 -1.2692 4.4002
1.7783 -1.8013 4.1134
-0.8054 1.0046 2.3732
1.7995 -2.0115 -0.0737
0.0000 0.0000 0.0000
```

Properties
- total magnetic moment (μB/f.u.) = 0.00
- E_form (eV per atom) = -0.360



2.
VASP calculation (PBE) on an optimized crystal structure of InBIr2Pt.

Structure (POSCAR):
```
InBIr2Pt
1.0
-3.3272 -0.2821 2.5340
-0.2932 -4.0960 -0.8410
2.5638 -0.8551 3.2711
In B Ir Pt
1 1 2 1
Cartesian
-0.5283 -2.6166 2.4820
0.0000 0.0000 0.0000
-0.1466 -2.0480 -0.4205
-1.6636 -0.1411 1.2670
1.2819 -0.4276 1.6355
```

Properties
- total magnetic moment (μB/f.u.) = 0.00
- E_form (eV per atom) = -0.130



- E_form of number 1 (Pm3In2BIr3)?
  -0.360 eV per atom